## one
Crystalline OsClF2 at its relaxed geometry, computed with PBE-GGA.

Computed properties:
space group: I-42d (122)
total moment: 15.97 Bohr magnetons per cell
density: 6.2 g/cm3

Unit cell a=4.523 b=4.523 c=13.814 alpha=90.00 beta=90.00 gamma=90.00
Element x y z (fractional)
Os: 0.000 0.000 0.000
Os: 0.000 0.500 0.250
Os: 0.500 0.000 0.750
Os: 0.500 0.500 0.500
Cl: 0.000 0.000 0.500
Cl: 0.000 0.500 0.750
Cl: 0.500 0.000 0.250
Cl: 0.500 0.500 0.000
F: 0.054 0.250 0.125
F: 0.250 0.554 0.375
F: 0.250 0.946 0.875
F: 0.446 0.250 0.625
F: 0.554 0.750 0.625
F: 0.750 0.054 0.875
F: 0.750 0.446 0.375
F: 0.946 0.750 0.125

## two
Crystalline OsClF2 at its relaxed geometry, computed with PBE-GGA.

Computed properties:
space group: R-3m (166)
total moment: 0.00 Bohr magnetons per cell
density: 6.6 g/cm3

Unit cell a=2.708 b=2.708 c=31.303 alpha=90.00 beta=90.00 gamma=120.00
Element x y z (fractional)
Os: 0.000 0.000 0.000
Os: 0.333 0.667 0.667
Os: 0.667 0.333 0.333
Cl: 0.000 0.000 0.500
Cl: 0.333 0.667 0.167
Cl: 0.667 0.333 0.833
F: 0.000 0.000 0.060
F: 0.000 0.000 0.940
F: 0.333 0.667 0.607
F: 0.333 0.667 0.727
F: 0.667 0.333 0.273
F: 0.667 0.333 0.393

## three
Crystalline OsClF2 at its relaxed geometry, computed with PBE-GGA.

Computed properties:
space group: Fm-3m (225)
total moment: 19.93 Bohr magnetons per cell
density: 8.1 g/cm3

Unit cell a=6.011 b=6.011 c=6.011 alpha=90.00 beta=90.00 gamma=90.00
Element x y z (fractional)
Os: 0.000 0.000 0.000
Os: 0.000 0.500 0.500
Os: 0.500 0.000 0.500
Os: 0.500 0.500 0.000
Cl: 0.000 0.000 0.500
Cl: 0.000 0.500 0.000
Cl: 0.500 0.000 0.000
Cl: 0.500 0.500 0.500
F: 0.250 0.250 0.250
F: 0.250 0.250 0.750
F: 0.250 0.750 0.250
F: 0.250 0.750 0.750
F: 0.750 0.250 0.250
F: 0.750 0.250 0.750
F: 0.750 0.750 0.250
F: 0.750 0.750 0.750

It comes down to two, which is 62.9 kJ/mol of atoms more stable than the next structure.

## one
Crystalline OsS2ClF at its relaxed geometry, computed with PBE-GGA.

Computed properties:
space group: P4/mmm (123)
total moment: 0.00 Bohr magnetons per cell
density: 6.3 g/cm3

Unit cell a=4.069 b=4.069 c=4.949 alpha=90.00 beta=90.00 gamma=90.00
Element x y z (fractional)
Os: 0.000 0.000 0.000
S: 0.000 0.500 0.500
S: 0.500 0.000 0.500
Cl: 0.500 0.500 0.000
F: 0.500 0.500 0.500

## two
Crystalline OsS2ClF at its relaxed geometry, computed with PBE-GGA.

Computed properties:
space group: P4/mmm (123)
total moment: 0.00 Bohr magnetons per cell
density: 5.2 g/cm3

Unit cell a=4.490 b=4.490 c=4.876 alpha=90.00 beta=90.00 gamma=90.00
Element x y z (fractional)
Os: 0.000 0.000 0.000
S: 0.000 0.500 0.000
S: 0.500 0.000 0.000
Cl: 0.000 0.000 0.500
F: 0.500 0.500 0.500

It comes down to two, which is 122.5 kJ/mol of atoms more stable than the next structure.

## one
Crystalline OsSCl2F at its relaxed geometry, computed with PBE-GGA.

Computed properties:
space group: P4/mmm (123)
total moment: 5.00 Bohr magnetons per cell
density: 5.2 g/cm3

Unit cell a=5.266 b=5.266 c=3.575 alpha=90.00 beta=90.00 gamma=90.00
Element x y z (fractional)
Os: 0.000 0.000 0.000
S: 0.500 0.500 0.000
Cl: 0.000 0.500 0.500
Cl: 0.500 0.000 0.500
F: 0.500 0.500 0.500

## two
Crystalline OsSCl2F at its relaxed geometry, computed with PBE-GGA.

Computed properties:
space group: P4/mmm (123)
total moment: 0.17 Bohr magnetons per cell
density: 5.1 g/cm3

Unit cell a=4.783 b=4.783 c=4.414 alpha=90.00 beta=90.00 gamma=90.00
Element x y z (fractional)
Os: 0.000 0.000 0.000
S: 0.000 0.000 0.500
Cl: 0.000 0.500 0.000
Cl: 0.500 0.000 0.000
F: 0.500 0.500 0.500

It comes down to two, which is 107.2 kJ/mol of atoms more stable than the next structure.

## one
Crystalline PClF2 at its relaxed geometry, computed with PBE-GGA.

Computed properties:
space group: I4_1/amd (141)
total moment: 0.00 Bohr magnetons per cell
density: 2.5 g/cm3

Unit cell a=4.720 b=4.720 c=12.246 alpha=90.00 beta=90.00 gamma=90.00
Element x y z (fractional)
P: 0.000 0.250 0.375
P: 0.000 0.750 0.625
P: 0.500 0.250 0.125
P: 0.500 0.750 0.875
Cl: 0.000 0.250 0.875
Cl: 0.000 0.750 0.125
Cl: 0.500 0.250 0.625
Cl: 0.500 0.750 0.375
F: 0.000 0.000 0.500
F: 0.000 0.500 0.500
F: 0.250 0.250 0.250
F: 0.250 0.750 0.750
F: 0.500 0.000 0.000
F: 0.500 0.500 0.000
F: 0.750 0.250 0.250
F: 0.750 0.750 0.750

## two
Crystalline PClF2 at its relaxed geometry, computed with PBE-GGA.

Computed properties:
space group: P1 (1)
total moment: 0.00 Bohr magnetons per cell
density: 2.1 g/cm3

Unit cell a=2.609 b=4.807 c=7.000 alpha=104.69 beta=100.22 gamma=90.86
Element x y z (fractional)
P: 0.000 0.000 0.000
Cl: 0.808 0.784 0.611
F: 0.001 0.676 0.022
F: 0.117 0.157 0.236

## three
Crystalline PClF2 at its relaxed geometry, computed with PBE-GGA.

Computed properties:
space group: Cm (8)
total moment: 0.00 Bohr magnetons per cell
density: 2.2 g/cm3

Unit cell a=9.972 b=2.603 c=6.581 alpha=90.00 beta=110.23 gamma=90.00
Element x y z (fractional)
P: 0.000 0.000 0.000
P: 0.500 0.500 0.000
Cl: 0.290 0.000 0.295
Cl: 0.790 0.500 0.295
F: 0.074 0.000 0.821
F: 0.339 0.500 0.838
F: 0.574 0.500 0.821
F: 0.839 0.000 0.838

## four
Crystalline PClF2 at its relaxed geometry, computed with PBE-GGA.

Computed properties:
space group: R-3m (166)
total moment: 0.00 Bohr magnetons per cell
density: 2.7 g/cm3

Unit cell a=2.719 b=2.719 c=29.905 alpha=90.00 beta=90.00 gamma=120.00
Element x y z (fractional)
P: 0.000 0.000 0.000
P: 0.333 0.667 0.667
P: 0.667 0.333 0.333
Cl: 0.000 0.000 0.500
Cl: 0.333 0.667 0.167
Cl: 0.667 0.333 0.833
F: 0.000 0.000 0.055
F: 0.000 0.000 0.945
F: 0.333 0.667 0.612
F: 0.333 0.667 0.721
F: 0.667 0.333 0.279
F: 0.667 0.333 0.388

It comes down to three, which is 2.6 kJ/mol of atoms more stable than the next structure.

## one
Crystalline PCl2F at its relaxed geometry, computed with PBE-GGA.

Computed properties:
space group: Fm-3m (225)
total moment: 0.00 Bohr magnetons per cell
density: 3.4 g/cm3

Unit cell a=6.193 b=6.193 c=6.193 alpha=90.00 beta=90.00 gamma=90.00
Element x y z (fractional)
P: 0.000 0.000 0.000
P: 0.000 0.500 0.500
P: 0.500 0.000 0.500
P: 0.500 0.500 0.000
Cl: 0.250 0.250 0.250
Cl: 0.250 0.250 0.750
Cl: 0.250 0.750 0.250
Cl: 0.250 0.750 0.750
Cl: 0.750 0.250 0.250
Cl: 0.750 0.250 0.750
Cl: 0.750 0.750 0.250
Cl: 0.750 0.750 0.750
F: 0.000 0.000 0.500
F: 0.000 0.500 0.000
F: 0.500 0.000 0.000
F: 0.500 0.500 0.500

## two
Crystalline PCl2F at its relaxed geometry, computed with PBE-GGA.

Computed properties:
space group: R-3m (166)
total moment: 0.00 Bohr magnetons per cell
density: 2.5 g/cm3

Unit cell a=3.470 b=3.470 c=22.774 alpha=90.00 beta=90.00 gamma=120.00
Element x y z (fractional)
P: 0.000 0.000 0.000
P: 0.333 0.667 0.667
P: 0.667 0.333 0.333
Cl: 0.000 0.000 0.402
Cl: 0.000 0.000 0.598
Cl: 0.333 0.667 0.069
Cl: 0.333 0.667 0.264
Cl: 0.667 0.333 0.736
Cl: 0.667 0.333 0.931
F: 0.000 0.000 0.500
F: 0.333 0.667 0.167
F: 0.667 0.333 0.833

It comes down to two, which is 2.3 kJ/mol of atoms more stable than the next structure.

## one
Crystalline P3ClF at its relaxed geometry, computed with PBE-GGA.

Computed properties:
space group: Pm-3m (221)
total moment: 0.00 Bohr magnetons per cell
density: 2.7 g/cm3

Unit cell a=4.488 b=4.488 c=4.488 alpha=90.00 beta=90.00 gamma=90.00
Element x y z (fractional)
P: 0.000 0.000 0.500
P: 0.000 0.500 0.000
P: 0.500 0.000 0.000
Cl: 0.500 0.500 0.500
F: 0.000 0.000 0.000

## two
Crystalline P3ClF at its relaxed geometry, computed with PBE-GGA.

Computed properties:
space group: Pm-3m (221)
total moment: 0.00 Bohr magnetons per cell
density: 2.5 g/cm3

Unit cell a=4.596 b=4.596 c=4.596 alpha=90.00 beta=90.00 gamma=90.00
Element x y z (fractional)
P: 0.000 0.000 0.500
P: 0.000 0.500 0.000
P: 0.500 0.000 0.000
Cl: 0.000 0.000 0.000
F: 0.500 0.500 0.500

It comes down to one, which is 24.1 kJ/mol of atoms more stable than the next structure.

## one
Crystalline PPbCl2F at its relaxed geometry, computed with PBE-GGA.

Computed properties:
space group: P4/mmm (123)
total moment: 2.36 Bohr magnetons per cell
density: 3.4 g/cm3

Unit cell a=5.353 b=5.353 c=5.543 alpha=90.00 beta=90.00 gamma=90.00
Element x y z (fractional)
P: 0.000 0.000 0.000
Pb: 0.000 0.000 0.500
Cl: 0.000 0.500 0.500
Cl: 0.500 0.000 0.500
F: 0.500 0.500 0.000

## two
Crystalline PPbCl2F at its relaxed geometry, computed with PBE-GGA.

Computed properties:
space group: P4/mmm (123)
total moment: 1.73 Bohr magnetons per cell
density: 4.1 g/cm3

Unit cell a=5.912 b=5.912 c=3.832 alpha=90.00 beta=90.00 gamma=90.00
Element x y z (fractional)
P: 0.000 0.000 0.000
Pb: 0.500 0.500 0.000
Cl: 0.000 0.500 0.500
Cl: 0.500 0.000 0.500
F: 0.000 0.000 0.500

It comes down to two, which is 39.9 kJ/mol of atoms more stable than the next structure.

## one
Crystalline PPtCl2F at its relaxed geometry, computed with PBE-GGA.

Computed properties:
space group: P4/mmm (123)
total moment: 0.03 Bohr magnetons per cell
density: 4.8 g/cm3

Unit cell a=4.944 b=4.944 c=4.515 alpha=90.00 beta=90.00 gamma=90.00
Element x y z (fractional)
P: 0.000 0.000 0.000
Pt: 0.000 0.000 0.500
Cl: 0.000 0.500 0.500
Cl: 0.500 0.000 0.500
F: 0.500 0.500 0.000

## two
Crystalline PPtCl2F at its relaxed geometry, computed with PBE-GGA.

Computed properties:
space group: P4/mmm (123)
total moment: 0.71 Bohr magnetons per cell
density: 5.5 g/cm3

Unit cell a=5.206 b=5.206 c=3.539 alpha=90.00 beta=90.00 gamma=90.00
Element x y z (fractional)
P: 0.000 0.000 0.000
Pt: 0.500 0.500 0.000
Cl: 0.000 0.500 0.500
Cl: 0.500 0.000 0.500
F: 0.000 0.000 0.500

It comes down to one, which is 40.6 kJ/mol of atoms more stable than the next structure.

## one
Crystalline P2PtClF at its relaxed geometry, computed with PBE-GGA.

Computed properties:
space group: P4/mmm (123)
total moment: 0.00 Bohr magnetons per cell
density: 6.1 g/cm3

Unit cell a=4.100 b=4.100 c=5.005 alpha=90.00 beta=90.00 gamma=90.00
Element x y z (fractional)
P: 0.000 0.500 0.000
P: 0.500 0.000 0.000
Pt: 0.000 0.000 0.500
Cl: 0.500 0.500 0.500
F: 0.500 0.500 0.000

## two
Crystalline P2PtClF at its relaxed geometry, computed with PBE-GGA.

Computed properties:
space group: P4/mmm (123)
total moment: 0.00 Bohr magnetons per cell
density: 4.9 g/cm3

Unit cell a=4.619 b=4.619 c=4.994 alpha=90.00 beta=90.00 gamma=90.00
Element x y z (fractional)
P: 0.000 0.500 0.000
P: 0.500 0.000 0.000
Pt: 0.000 0.000 0.000
Cl: 0.000 0.000 0.500
F: 0.500 0.500 0.500

It comes down to two, which is 40.5 kJ/mol of atoms more stable than the next structure.

## one
Crystalline RbPCl2F at its relaxed geometry, computed with PBE-GGA.

Computed properties:
space group: P4/mmm (123)
total moment: 2.24 Bohr magnetons per cell
density: 1.2 g/cm3

Unit cell a=6.272 b=6.272 c=7.329 alpha=90.00 beta=90.00 gamma=90.00
Element x y z (fractional)
Rb: 0.000 0.000 0.000
P: 0.000 0.000 0.500
Cl: 0.000 0.500 0.000
Cl: 0.500 0.000 0.000
F: 0.500 0.500 0.500

## two
Crystalline RbPCl2F at its relaxed geometry, computed with PBE-GGA.

Computed properties:
space group: P4/mmm (123)
total moment: 0.00 Bohr magnetons per cell
density: 2.8 g/cm3

Unit cell a=5.798 b=5.798 c=3.683 alpha=90.00 beta=90.00 gamma=90.00
Element x y z (fractional)
Rb: 0.000 0.000 0.000
P: 0.500 0.500 0.000
Cl: 0.000 0.500 0.500
Cl: 0.500 0.000 0.500
F: 0.500 0.500 0.500

It comes down to two, which is 108.9 kJ/mol of atoms more stable than the next structure.

## one
Crystalline ReP2ClF at its relaxed geometry, computed with PBE-GGA.

Computed properties:
space group: P4/mmm (123)
total moment: 0.00 Bohr magnetons per cell
density: 5.0 g/cm3

Unit cell a=4.561 b=4.561 c=4.815 alpha=90.00 beta=90.00 gamma=90.00
Element x y z (fractional)
Re: 0.000 0.000 0.000
P: 0.000 0.500 0.000
P: 0.500 0.000 0.000
Cl: 0.000 0.000 0.500
F: 0.500 0.500 0.500

## two
Crystalline ReP2ClF at its relaxed geometry, computed with PBE-GGA.

Computed properties:
space group: P4/mmm (123)
total moment: 1.40 Bohr magnetons per cell
density: 6.4 g/cm3

Unit cell a=4.038 b=4.038 c=4.795 alpha=90.00 beta=90.00 gamma=90.00
Element x y z (fractional)
Re: 0.000 0.000 0.000
P: 0.000 0.500 0.500
P: 0.500 0.000 0.500
Cl: 0.500 0.500 0.000
F: 0.500 0.500 0.500

It comes down to one, which is 94.0 kJ/mol of atoms more stable than the next structure.

## one
Crystalline PSCl2F at its relaxed geometry, computed with PBE-GGA.

Computed properties:
space group: P4/mmm (123)
total moment: 1.33 Bohr magnetons per cell
density: 2.4 g/cm3

Unit cell a=4.603 b=4.603 c=4.973 alpha=90.00 beta=90.00 gamma=90.00
Element x y z (fractional)
P: 0.000 0.000 0.000
S: 0.000 0.000 0.500
Cl: 0.000 0.500 0.500
Cl: 0.500 0.000 0.500
F: 0.500 0.500 0.000

## two
Crystalline PSCl2F at its relaxed geometry, computed with PBE-GGA.

Computed properties:
space group: P4/mmm (123)
total moment: 0.14 Bohr magnetons per cell
density: 2.6 g/cm3

Unit cell a=4.639 b=4.639 c=4.538 alpha=90.00 beta=90.00 gamma=90.00
Element x y z (fractional)
P: 0.000 0.000 0.000
S: 0.000 0.000 0.500
Cl: 0.000 0.500 0.000
Cl: 0.500 0.000 0.000
F: 0.500 0.500 0.500

It comes down to two, which is 25.6 kJ/mol of atoms more stable than the next structure.